1.
This record from the Alexandria database describes crystalline Sc2Tl3InTe6 at its relaxed geometry. The functional is PBE-GGA. Values from VASP.

## Properties
total DFT energy (no corrections) = -4.15 eV/atom
ΔE_f (raw) = -700 meV per atom

Structure (Quantum ESPRESSO input):
```
&SYSTEM
  ibrav = 0, nat = 12, ntyp = 4
/
ATOMIC_SPECIES
Sc 44.96 Sc.upf
Tl 204.38 Tl.upf
In 114.82 In.upf
Te 127.60 Te.upf
ATOMIC_POSITIONS crystal
Sc 0.167 0.833 0.000
Sc 0.833 0.167 0.000
Tl 0.000 0.000 0.500
Tl 0.334 0.666 0.500
Tl 0.666 0.334 0.500
In 0.500 0.500 0.000
Te 0.091 0.431 0.795
Te 0.228 0.228 0.204
Te 0.431 0.091 0.795
Te 0.569 0.909 0.205
Te 0.772 0.772 0.796
Te 0.909 0.569 0.205
CELL_PARAMETERS angstrom
3.751 -6.504 0.000
3.751 6.504 0.000
-2.492 0.000 8.019
```

=====

2.
This record from the Alexandria database describes crystalline Cs2Er2UTe6 at its relaxed geometry. The functional is PBE-GGA. Values from VASP.

## Properties
total DFT energy (no corrections) = -4.91 eV/atom
ΔE_f (raw) = -1181 meV per atom

Structure (Quantum ESPRESSO input):
```
&SYSTEM
  ibrav = 0, nat = 11, ntyp = 4
/
ATOMIC_SPECIES
Cs 132.91 Cs.upf
Er 167.26 Er.upf
U 238.03 U.upf
Te 127.60 Te.upf
ATOMIC_POSITIONS crystal
Cs 0.167 0.833 0.000
Cs 0.833 0.167 0.000
Er 0.332 0.668 0.500
Er 0.668 0.332 0.500
U 0.000 0.000 0.500
Te 0.065 0.396 0.688
Te 0.272 0.272 0.314
Te 0.396 0.065 0.688
Te 0.604 0.935 0.312
Te 0.728 0.728 0.686
Te 0.935 0.604 0.312
CELL_PARAMETERS angstrom
3.841 -6.651 0.000
3.841 6.651 0.000
-2.581 0.000 9.181
```

=====

3.
This record from the Alexandria database describes crystalline MnRuAu at its relaxed geometry. The functional is PBE-GGA. Values from VASP.

## Properties
E_form = 0.25 eV per atom
total DFT energy (no corrections) = -6.99 eV/atom

Structure (Quantum ESPRESSO input):
```
&SYSTEM
  ibrav = 0, nat = 3, ntyp = 3
/
ATOMIC_SPECIES
Mn 54.94 Mn.upf
Ru 101.07 Ru.upf
Au 196.97 Au.upf
ATOMIC_POSITIONS crystal
Mn 0.000 0.000 0.000
Ru 0.241 0.241 0.241
Au 0.448 0.448 0.448
CELL_PARAMETERS angstrom
1.367 0.789 6.698
-1.367 0.789 6.698
0.000 -1.579 6.698
```

=====

4.
This record from the Alexandria database describes crystalline La2MgAlH at its relaxed geometry. The functional is PBE-GGA. Values from VASP.

## Properties
total DFT energy (no corrections) = -3.95 eV/atom

Structure (Quantum ESPRESSO input):
```
&SYSTEM
  ibrav = 0, nat = 5, ntyp = 4
/
ATOMIC_SPECIES
La 138.91 La.upf
Mg 24.30 Mg.upf
Al 26.98 Al.upf
H 1.01 H.upf
ATOMIC_POSITIONS crystal
La 0.000 0.500 0.000
La 0.500 0.000 0.000
Mg 0.000 0.000 0.500
Al 0.500 0.500 0.500
H 0.500 0.500 0.000
CELL_PARAMETERS angstrom
5.203 0.000 0.000
0.000 5.203 0.000
0.000 0.000 4.242
```

=====

5.
This record from the Alexandria database describes crystalline YP2Br at its relaxed geometry. The functional is PBE-GGA. Values from VASP.

## Properties
total DFT energy (no corrections) = -4.74 eV/atom
ΔE_f (raw) = 4 meV per atom

Structure (Quantum ESPRESSO input):
```
&SYSTEM
  ibrav = 0, nat = 4, ntyp = 3
/
ATOMIC_SPECIES
Y 88.91 Y.upf
P 30.97 P.upf
Br 79.90 Br.upf
ATOMIC_POSITIONS crystal
Y 0.000 0.000 0.000
P 0.279 0.279 0.279
P 0.721 0.721 0.721
Br 0.500 0.500 0.500
CELL_PARAMETERS angstrom
2.236 1.291 6.096
-2.236 1.291 6.096
0.000 -2.582 6.096
```

=====

6.
This record from the Alexandria database describes crystalline Al2CdSi at its relaxed geometry. The functional is PBE-GGA. Values from VASP.

## Properties
total DFT energy (no corrections) = -3.24 eV/atom
ΔE_f (raw) = 220 meV per atom

Structure (Quantum ESPRESSO input):
```
&SYSTEM
  ibrav = 0, nat = 4, ntyp = 3
/
ATOMIC_SPECIES
Al 26.98 Al.upf
Cd 112.41 Cd.upf
Si 28.09 Si.upf
ATOMIC_POSITIONS crystal
Al 0.000 0.000 0.000
Al 0.203 0.203 0.203
Cd 0.433 0.433 0.433
Si 0.598 0.598 0.598
CELL_PARAMETERS angstrom
2.008 1.159 5.904
-2.008 1.159 5.904
0.000 -2.319 5.904
```

=====

7.
This record from the Alexandria database describes crystalline CaPmNi2As2 at its relaxed geometry. The functional is PBE-GGA. Values from VASP.

## Properties
E_form = -0.94 eV per atom
total DFT energy (no corrections) = -5.55 eV/atom

Structure (Quantum ESPRESSO input):
```
&SYSTEM
  ibrav = 0, nat = 6, ntyp = 4
/
ATOMIC_SPECIES
Ca 40.08 Ca.upf
Pm 145.00 Pm.upf
Ni 58.69 Ni.upf
As 74.92 As.upf
ATOMIC_POSITIONS crystal
Ca 0.000 0.000 0.000
Pm 0.000 0.000 0.500
Ni 0.333 0.667 0.743
Ni 0.667 0.333 0.257
As 0.333 0.667 0.251
As 0.667 0.333 0.749
CELL_PARAMETERS angstrom
4.073 0.000 0.000
-2.036 3.527 0.000
0.000 0.000 8.188
```

=====

8.
This record from the Alexandria database describes crystalline VCd2InBr at its relaxed geometry. The functional is PBE-GGA. Values from VASP.

## Properties
total DFT energy (no corrections) = -2.49 eV/atom
ΔE_f (raw) = 585 meV per atom

Structure (Quantum ESPRESSO input):
```
&SYSTEM
  ibrav = 0, nat = 5, ntyp = 4
/
ATOMIC_SPECIES
V 50.94 V.upf
Cd 112.41 Cd.upf
In 114.82 In.upf
Br 79.90 Br.upf
ATOMIC_POSITIONS crystal
V 0.000 0.000 0.000
Cd 0.000 0.500 0.500
Cd 0.500 0.000 0.500
In 0.000 0.000 0.500
Br 0.500 0.500 0.000
CELL_PARAMETERS angstrom
5.399 0.000 0.000
0.000 5.399 0.000
0.000 0.000 5.485
```